Compound: Cs5NaI6
Source: Alexandria via LeMat-Bulk
Functional: PBE
Structure: relaxed

The spin magnetization is 0.0 μB/f.u. The uncorrected formation energy is -17.70 eV/f.u. The calculation puts the density at 3.59 Mg/m³. The density of states at the Fermi level is 0.0000 states/eV per atom. The crystal system is monoclinic.

It has space group C2/m (No. 12), with a = 9.358 Å, b = 16.241 Å, c = 9.358 Å, α = 90.00°, β = 109.64° and γ = 90.00°. The asymmetric unit holds Cs at (0.000, 0.000, 0.000), Cs at (0.000, 0.166, 0.500), Cs at (0.000, 0.328, 0.000), Na at (0.000, 0.500, 0.500), I at (0.223, 0.500, 0.267) and I at (0.230, 0.347, 0.733).